Entry 1:
Tm3Si4Pd7 GGA-PBE optimized geometry; ΔE_f (raw) = -0.931 eV per atom
1.0
-3.9401 -0.7046 0.2901
-1.3242 -0.7994 7.8301
-3.0799 7.0404 3.0268
Tm Si Pd
3 4 7
direct
0.3257 0.1769 0.1717
0.6743 0.8231 0.8283
0.0000 0.5000 0.5000
0.6653 0.4374 0.2319
0.3347 0.5626 0.7681
0.8900 0.8932 0.3268
0.1100 0.1068 0.6732
0.3058 0.8521 0.5363
0.4914 0.2412 0.7760
0.8300 0.4178 0.9223
0.6942 0.1479 0.4637
0.1700 0.5822 0.0777
0.0000 0.0000 0.0000
0.5086 0.7588 0.2240



Entry 2:
NaSiF3 GGA-PBE optimized geometry; excess energy over the best structure of this formula in the dataset = 0.00 kcal/mol of atoms; ΔE_f (raw) = -2.054 eV per atom
1.0
-3.4037 -2.2135 1.3103
2.3990 -1.9477 2.9416
-0.9280 3.0836 2.7985
Na Si F
1 1 3
direct
0.5000 0.5000 0.5000
0.0000 0.0000 0.0000
0.0000 0.5000 0.0000
0.0000 0.0000 0.5000
0.5000 0.0000 0.0000



Entry 3:
NaTaBe2Sb GGA-PBE optimized geometry; ΔE_f (raw) = 1.545 eV per atom
1.0
-0.1318 1.1092 4.4887
-2.8226 -4.4612 1.0196
3.9347 -2.3315 0.6916
Sb Na Be Ta
1 1 2 1
direct
0.5000 0.5000 0.5000
0.0000 0.5000 0.0000
0.0000 0.0000 0.5000
0.5000 0.0000 0.0000
0.0000 0.0000 0.0000



Entry 4:
ZrNbTl2P GGA-PBE optimized geometry; ΔH_f (0 K) = 1.357 eV per atom
1.0
-3.1358 -1.2084 4.4606
4.0987 -0.9430 2.6259
0.2084 5.3481 1.5953
P Tl Nb Zr
1 2 1 1
direct
0.5000 0.5000 0.5000
0.0000 0.0000 0.5000
0.5000 0.0000 0.0000
0.0000 0.5000 0.0000
0.0000 0.0000 0.0000



Entry 5:
InSnP2 GGA-PBE optimized geometry; ΔH_f (0 K) = 0.031 eV per atom; excess energy over the best structure of this formula in the dataset = 0.00 kcal/mol of atoms
1.0
-2.8461 -3.9185 -3.6379
-2.8864 -2.3431 4.7820
-7.4619 0.9335 -0.2104
P Sn In
4 2 2
direct
0.6178 0.1250 0.2500
0.1322 0.6250 0.2500
0.3750 0.3822 0.7500
0.8750 0.8678 0.7500
0.0000 0.0000 0.0000
0.7500 0.2500 0.5000
0.5000 0.5000 0.0000
0.2500 0.7500 0.5000



Entry 6:
Tb3In2Ir GGA-PBE optimized geometry; ΔH_f (0 K) = -0.577 eV per atom
1.0
-3.0509 -0.0954 -4.0329
4.5955 -0.6730 -6.6322
-0.4087 -7.6115 0.4892
Tb In Ir
6 4 2
direct
0.8236 0.3528 0.7843
0.5000 0.0000 0.2376
0.1764 0.6472 0.2157
0.8236 0.3528 0.2157
0.1764 0.6472 0.7843
0.5000 0.0000 0.7624
0.0000 0.0000 0.0000
0.0000 0.0000 0.5000
0.3338 0.3325 0.5000
0.6662 0.6675 0.5000
0.3516 0.2969 0.0000
0.6484 0.7031 0.0000



Entry 7:
KMg2Tl10 GGA-PBE optimized geometry; ΔH_f (0 K) = -0.015 eV per atom
1.0
6.4346 0.0000 0.0000
3.2173 8.0180 0.0000
3.2173 0.0000 7.7842
K Mg Tl
1 2 10
direct
0.0000 0.0000 0.0000
0.0000 0.5000 0.0000
0.5000 0.5000 0.0000
0.3542 0.6391 0.6525
0.6458 0.3609 0.3475
0.9933 0.3609 0.6525
0.0067 0.6391 0.3475
0.0000 0.0000 0.5000
0.5000 0.0000 0.5000
0.2836 0.2243 0.2084
0.7164 0.7757 0.7916
0.5079 0.7757 0.2084
0.4921 0.2243 0.7916



Entry 8:
NaSr2CaPt GGA-PBE optimized geometry; ΔH_f (0 K) = -0.229 eV per atom; excess energy over the best structure of this formula in the dataset = 4.88 kcal/mol of atoms
1.0
5.9003 0.0000 0.0000
0.0000 5.9003 0.0000
0.0000 0.0000 5.8082
Sr Ca Pt Na
2 1 1 1
direct
0.0000 0.5000 0.0000
0.5000 0.0000 0.0000
0.5000 0.5000 0.5000
0.0000 0.0000 0.0000
0.0000 0.0000 0.5000



Entry 9:
Ca3GeRh GGA-PBE optimized geometry; ΔH_f (0 K) = -0.137 eV per atom; excess energy over the best structure of this formula in the dataset = 0.00 kcal/mol of atoms
1.0
-4.0578 -1.6099 -3.1068
3.4478 -2.6512 -3.1294
-0.5970 -4.3691 3.0437
Ge Rh Ca
1 1 3
direct
0.5000 0.5000 0.5000
0.0000 0.0000 0.0000
0.0000 0.5000 0.0000
0.0000 0.0000 0.5000
0.5000 0.0000 0.0000



Entry 10:
Na3Ge6Pt5 GGA-PBE optimized geometry; ΔH_f (0 K) = -0.430 eV per atom
1.0
-0.8912 1.0238 3.9751
-8.6060 -3.1581 -1.1161
3.8547 -11.8922 3.9269
Na Ge Pt
6 12 10
direct
0.0000 0.2477 0.6977
0.5000 0.7523 0.1977
0.5000 0.7523 0.8023
0.0000 0.2605 0.0000
0.5000 0.7395 0.5000
0.0000 0.2477 0.3023
0.0000 0.9817 0.8414
0.5000 0.0183 0.6586
0.5000 0.4088 0.8143
0.5000 0.6041 0.0000
0.0000 0.3959 0.5000
0.0000 0.5912 0.6857
0.0000 0.5912 0.3143
0.5000 0.9706 0.0000
0.0000 0.9817 0.1586
0.5000 0.4088 0.1857
0.0000 0.0294 0.5000
0.5000 0.0183 0.3414
0.0000 0.5388 0.8831
0.0000 0.8683 0.6586
0.0000 0.8103 0.0000
0.5000 0.4612 0.6169
0.5000 0.1897 0.5000
0.0000 0.5388 0.1169
0.5000 0.4612 0.3831
0.0000 0.8683 0.3414
0.5000 0.1317 0.8414
0.5000 0.1317 0.1586



Entry 11:
AgBi2SeCl GGA-PBE optimized geometry; ΔE_f (raw) = 0.373 eV per atom
1.0
-1.2328 5.2846 1.2730
-0.3827 -1.2555 4.8413
5.4191 1.0927 0.7118
Se Bi Ag Cl
1 2 1 1
direct
0.0000 0.5000 0.0000
0.0000 0.0000 0.5000
0.5000 0.0000 0.0000
0.0000 0.0000 0.0000
0.5000 0.5000 0.5000



Entry 12:
Sm2Dy3ErS6 GGA-PBE optimized geometry; ΔE_f (raw) = -1.996 eV per atom
1.0
3.9211 0.0000 0.0000
0.0000 7.9002 0.2799
-1.9605 -2.2798 8.2537
Sm Dy Er S
2 3 1 6
direct
0.8324 0.6646 0.6648
0.1676 0.3354 0.3352
0.5000 0.5000 0.0000
0.8312 0.1672 0.6624
0.1688 0.8328 0.3376
0.5000 0.0000 0.0000
0.3354 0.9244 0.6708
0.6640 0.5889 0.3280
0.6646 0.0756 0.3292
0.9973 0.2454 0.9945
0.0027 0.7546 0.0055
0.3360 0.4111 0.6720



Entry 13:
YEr12Co6 GGA-PBE optimized geometry; ΔH_f (0 K) = -0.153 eV per atom
1.0
-2.6083 -7.9619 -0.3018
0.4760 3.0816 -7.7822
7.5627 0.3285 3.6032
Y Er Co
1 12 6
direct
0.0000 0.0000 0.0000
0.3088 0.1153 0.8065
0.3088 0.5023 0.1935
0.6912 0.4977 0.8065
0.6912 0.8847 0.1935
0.1153 0.8065 0.3088
0.5023 0.1935 0.3088
0.4977 0.8065 0.6912
0.8847 0.1935 0.6912
0.8065 0.3088 0.1153
0.1935 0.3088 0.5023
0.8065 0.6912 0.4977
0.1935 0.6912 0.8847
0.3860 0.5000 0.8860
0.6140 0.5000 0.1140
0.5000 0.8860 0.3860
0.5000 0.1140 0.6140
0.8860 0.3860 0.5000
0.1140 0.6140 0.5000



Entry 14:
MnFeNiC GGA-PBE optimized geometry; ΔH_f (0 K) = 0.126 eV per atom; excess energy over the best structure of this formula in the dataset = 0.00 kcal/mol of atoms
1.0
2.6794 0.0000 0.0000
0.0000 3.8359 0.0000
0.0000 0.0000 7.8890
Ni C Mn Fe
2 2 2 2
direct
0.0000 0.0000 0.5924
0.5000 0.5000 0.0924
0.0000 0.5000 0.5981
0.5000 0.0000 0.0981
0.0000 0.0000 0.9245
0.5000 0.5000 0.4245
0.0000 0.0000 0.2634
0.5000 0.5000 0.7634



Entry 15:
ZnFe2Co GGA-PBE optimized geometry; ΔH_f (0 K) = 0.024 eV per atom
1.0
4.0657 0.0000 0.0000
2.0328 3.5210 0.0000
2.0328 1.1737 3.3196
Zn Co Fe
1 1 2
direct
0.7500 0.7500 0.7500
0.5000 0.5000 0.5000
0.0000 0.0000 0.0000
0.2500 0.2500 0.2500



Entry 16:
TiGaTe2Cl GGA-PBE optimized geometry; ΔE_f (raw) = -0.497 eV per atom
1.0
-0.2663 -2.0349 -5.0634
-1.4433 -4.1498 1.7437
-5.1958 1.6443 -0.3875
Cl Te Ga Ti
1 2 1 1
direct
0.0000 0.5000 0.0000
0.0000 0.0000 0.5000
0.5000 0.0000 0.0000
0.5000 0.5000 0.5000
0.0000 0.0000 0.0000



Entry 17:
KBiTeS GGA-PBE optimized geometry; ΔE_f (raw) = -0.690 eV per atom
1.0
-0.5927 -2.2737 3.6543
4.0036 0.5422 -1.5963
-0.1316 8.0456 2.4024
K Bi Te S
1 1 1 1
direct
0.9458 0.3710 0.3318
0.3207 0.5581 0.8943
0.4984 0.1472 0.6608
0.1130 0.9545 0.0827



Entry 18:
SiAsPt GGA-PBE optimized geometry; excess energy over the best structure of this formula in the dataset = 0.00 kcal/mol of atoms; ΔE_f (raw) = -0.355 eV per atom
1.0
-1.1454 -3.6086 2.9999
-2.7231 -3.3175 -5.0303
6.3303 -3.0845 -1.2934
Pt Si As
4 4 4
direct
0.4791 0.2426 0.6394
0.9791 0.7574 0.8606
0.5209 0.7574 0.3606
0.0209 0.2426 0.1394
0.6811 0.9151 0.6437
0.8189 0.9151 0.1437
0.3189 0.0849 0.3563
0.1811 0.0849 0.8563
0.2972 0.5665 0.0904
0.2028 0.5665 0.5904
0.7028 0.4335 0.9096
0.7972 0.4335 0.4096



Entry 19:
Li2PaI8 GGA-PBE optimized geometry; excess energy over the best structure of this formula in the dataset = 0.20 kcal/mol of atoms; ΔE_f (raw) = -0.878 eV per atom
1.0
11.5104 0.7686 4.0614
4.1256 7.1132 2.3250
2.5379 0.0594 8.1596
Li Pa I
2 1 8
direct
0.6944 0.9845 0.9845
0.3056 0.0155 0.0155
0.0000 0.0000 0.0000
0.8451 0.2081 0.7519
0.1549 0.2481 0.7919
0.7373 0.2866 0.2866
0.2627 0.7134 0.7134
0.8451 0.7519 0.2081
0.1549 0.7919 0.2481
0.3735 0.1631 0.1631
0.6265 0.8369 0.8369



Entry 20:
Zr4CuO2 GGA-PBE optimized geometry; ΔE_f (raw) = -1.537 eV per atom
1.0
-1.1039 0.9016 3.1151
-4.3461 -2.8099 -2.6104
3.8546 -9.8902 4.2285
Zr Cu O
8 2 4
direct
0.7619 0.5239 0.1079
0.7619 0.5239 0.3921
0.2381 0.4761 0.8921
0.2381 0.4761 0.6079
0.9322 0.8645 0.7500
0.0678 0.1355 0.2500
0.5000 0.0000 0.0000
0.5000 0.0000 0.5000
0.6173 0.2347 0.7500
0.3827 0.7653 0.2500
0.1255 0.2510 0.4367
0.8745 0.7490 0.9367
0.1255 0.2510 0.0633
0.8745 0.7490 0.5633



| no. | theoretical density (Mg/m³) |
| --- | --- |
| 1 | 9.5 |
| 2 | 2.3 |
| 3 | 5.0 |
| 4 | 6.7 |
| 5 | 4.3 |
| 6 | 10.0 |
| 7 | 8.8 |
| 8 | 3.6 |
| 9 | 3.2 |
| 10 | 9.7 |
| 11 | 6.8 |
| 12 | 7.4 |
| 13 | 9.0 |
| 14 | 7.4 |
| 15 | 8.2 |
| 16 | 4.8 |
| 17 | 5.2 |
| 18 | 8.7 |
| 19 | 3.7 |
| 20 | 7.1 |